[1]
Compound: V3PbBr
Source: Alexandria
Functional: PBE
Structure: optimized geometry

POSCAR file:
```
V3PbBr
1.0
4.536 0.000 0.000
0.000 4.536 0.000
0.000 0.000 4.536
V Pb Br
3 1 1
Cartesian
0.000 0.000 2.268
0.000 2.268 0.000
2.268 0.000 0.000
2.268 2.268 2.268
0.000 0.000 0.000
```

Summary:
M_tot (μB per formula unit): 0.00
Space-group type: Pm-3m
Distance to the lowest polymorph of the same formula (meV per atom): 0
Mass density (Mg/m³): 7.83

---

[2]
Compound: YVPbBr2
Source: Alexandria
Functional: PBE
Structure: optimized geometry

POSCAR file:
```
YVPbBr2
1.0
5.681 0.000 0.000
0.000 5.681 0.000
0.000 0.000 6.349
Y V Pb Br
1 1 1 2
Cartesian
0.000 0.000 0.000
2.841 2.841 0.000
0.000 0.000 3.174
0.000 2.841 3.174
2.841 0.000 3.174
```

Summary:
M_tot (μB per formula unit): 4.16
Space-group type: P4/mmm
Energy (eV/atom): -3.8477
Mass density (Mg/m³): 4.11

---

[3]
Compound: ZrVPbBr2
Source: Alexandria
Functional: PBE
Structure: optimized geometry

POSCAR file:
```
ZrVPbBr2
1.0
4.800 0.000 0.000
0.000 4.800 0.000
0.000 0.000 6.049
Zr V Pb Br
1 1 1 2
Cartesian
0.000 0.000 0.000
2.400 2.400 3.024
2.400 2.400 0.000
0.000 2.400 3.024
2.400 0.000 3.024
```

Summary:
M_tot (μB per formula unit): 3.06
Space-group type: P4/mmm
Energy (eV/atom): -4.5646
Mass density (Mg/m³): 6.07

---

[4]
Compound: PbWBr2
Source: Alexandria
Functional: PBE
Structure: optimized geometry

POSCAR file:
```
PbWBr2
1.0
1.650 0.953 10.372
-1.650 0.953 10.372
0.000 -1.905 10.372
Pb W Br
1 1 2
Cartesian
0.000 0.000 0.000
0.000 0.000 15.557
0.000 0.000 13.123
0.000 0.000 17.992
```

Summary:
M_tot (μB per formula unit): 0.00
Space-group type: R-3m
Distance to the lowest polymorph of the same formula (meV per atom): 208
Mass density (Mg/m³): 9.35

---

[5]
Compound: PbWBr2
Source: Alexandria
Functional: PBE
Structure: optimized geometry

POSCAR file:
```
PbWBr2
1.0
-2.459 2.459 4.277
2.459 -2.459 4.277
2.459 2.459 -4.277
Pb W Br
1 1 2
Cartesian
0.000 0.000 0.000
0.000 0.000 4.277
2.459 0.000 2.139
0.000 2.459 2.139
```

Summary:
M_tot (μB per formula unit): 3.99
Space-group type: I4/mmm
Distance to the lowest polymorph of the same formula (meV per atom): 859
Mass density (Mg/m³): 8.84

---

[6]
Compound: PbWBr
Source: Alexandria
Functional: PBE
Structure: optimized geometry

POSCAR file:
```
PbWBr
1.0
-1.572 1.572 7.458
1.572 -1.572 7.458
1.572 1.572 -7.458
Pb W Br
1 1 1
Cartesian
0.000 0.000 0.000
0.000 0.000 9.658
0.000 0.000 3.791
```

Summary:
M_tot (μB per formula unit): 0.39
Space-group type: I4mm
Distance to the lowest polymorph of the same formula (meV per atom): 196
Mass density (Mg/m³): 10.61

---

[7]
Compound: PbWBr2
Source: Alexandria
Functional: PBE
Structure: optimized geometry

POSCAR file:
```
PbWBr2
1.0
3.168 0.000 0.000
0.000 3.168 0.000
0.000 0.000 10.358
Pb W Br
1 1 2
Cartesian
0.000 0.000 0.000
0.000 0.000 5.179
1.584 1.584 3.575
1.584 1.584 6.784
```

Summary:
M_tot (μB per formula unit): 0.00
Space-group type: P4/mmm
Distance to the lowest polymorph of the same formula (meV per atom): 368
Mass density (Mg/m³): 8.80

---

[8]
Compound: PbWBr2
Source: Alexandria
Functional: PBE
Structure: optimized geometry

POSCAR file:
```
PbWBr2
1.0
3.322 0.000 0.000
0.000 3.322 0.000
0.000 0.000 8.701
Pb W Br
1 1 2
Cartesian
0.000 0.000 0.000
1.661 1.661 2.256
0.000 0.000 3.527
1.661 1.661 6.569
```

Summary:
M_tot (μB per formula unit): 0.00
Space-group type: P4mm
Distance to the lowest polymorph of the same formula (meV per atom): 277
Mass density (Mg/m³): 9.52

---

[9]
Compound: PbWBr2
Source: Alexandria
Functional: PBE
Structure: optimized geometry

POSCAR file:
```
PbWBr2
1.0
7.581 -1.625 0.000
7.581 1.625 0.000
-1.846 0.000 4.974
Pb W Br
1 1 2
Cartesian
0.000 0.000 0.000
6.658 0.000 2.487
1.056 0.000 3.224
12.260 0.000 1.750
```

Summary:
M_tot (μB per formula unit): 1.69
Space-group type: C2/m
Distance to the lowest polymorph of the same formula (meV per atom): 71
Mass density (Mg/m³): 7.46

---

[10]
Compound: PbWBr2
Source: Alexandria
Functional: PBE
Structure: optimized geometry

POSCAR file:
```
PbWBr2
1.0
0.000 3.700 3.700
3.700 0.000 3.700
3.700 3.700 0.000
Pb W Br
1 1 2
Cartesian
0.000 0.000 0.000
1.850 1.850 1.850
3.700 3.700 3.700
5.549 5.549 5.549
```

Summary:
M_tot (μB per formula unit): 4.12
Space-group type: F-43m
Distance to the lowest polymorph of the same formula (meV per atom): 859
Mass density (Mg/m³): 9.03

---

[11]
Compound: PbWBr2
Source: Alexandria
Functional: PBE
Structure: optimized geometry

POSCAR file:
```
PbWBr2
1.0
3.491 0.000 0.000
0.000 4.454 0.000
-1.619 0.000 6.283
Pb W Br
1 1 2
Cartesian
0.000 0.000 0.000
-0.809 0.000 3.141
-0.103 2.227 4.502
1.975 2.227 1.780
```

Summary:
M_tot (μB per formula unit): 1.97
Space-group type: P2/m
Distance to the lowest polymorph of the same formula (meV per atom): 405
Mass density (Mg/m³): 9.36

---

[12]
Compound: PbWBr2
Source: Alexandria
Functional: PBE
Structure: optimized geometry

POSCAR file:
```
PbWBr2
1.0
-2.130 2.130 5.901
2.130 -2.130 5.901
2.130 2.130 -5.901
Pb W Br
1 1 2
Cartesian
0.000 0.000 0.000
2.130 0.000 2.950
0.000 0.000 5.901
0.000 2.130 2.950
```

Summary:
M_tot (μB per formula unit): 3.93
Space-group type: I-4m2
Distance to the lowest polymorph of the same formula (meV per atom): 722
Mass density (Mg/m³): 8.54

---

[13]
Compound: PbWBr
Source: Alexandria
Functional: PBE
Structure: optimized geometry

POSCAR file:
```
PbWBr
1.0
0.000 3.371 3.371
3.371 0.000 3.371
3.371 3.371 0.000
Pb W Br
1 1 1
Cartesian
0.000 0.000 0.000
5.057 5.057 5.057
3.371 3.371 3.371
```

Summary:
M_tot (μB per formula unit): 1.82
Space-group type: F-43m
Distance to the lowest polymorph of the same formula (meV per atom): 722
Mass density (Mg/m³): 10.21

---

[14]
Compound: Pb4WBr
Source: Alexandria
Functional: PBE
Structure: optimized geometry

POSCAR file:
```
Pb4WBr
1.0
0.000 4.507 4.507
4.507 0.000 4.507
4.507 4.507 0.000
Pb W Br
4 1 1
Cartesian
1.119 1.119 1.119
3.388 3.388 1.119
3.388 1.119 3.388
1.119 3.388 3.388
6.761 6.761 6.761
4.507 4.507 4.507
```

Summary:
M_tot (μB per formula unit): 3.61
Space-group type: F-43m
Energy (eV/atom): -3.9447
Mass density (Mg/m³): 9.91